*a*
# CsSn3F | Alexandria via LeMat-Bulk | GGA-PBE | relaxed
# **Magnetization**: 0.000 μB/f.u.
# **DOS at the Fermi energy**: 3.028 states/eV per cell
data_CsSn3F
_symmetry_space_group_name_H-M 'P 1'
_symmetry_Int_Tables_number 1
_symmetry_space_group_name_Hall 'P 1'
_cell_length_a 5.3194
_cell_length_b 5.3194
_cell_length_c 5.3194
_cell_angle_alpha 90.00
_cell_angle_beta 90.00
_cell_angle_gamma 90.00
loop_
_atom_site_label
_atom_site_fract_x
_atom_site_fract_y
_atom_site_fract_z
Cs1 0.5000 0.5000 0.5000
Sn1 0.0000 0.5000 0.0000
Sn2 0.0000 0.0000 0.5000
Sn3 0.5000 0.0000 0.0000
F1 0.0000 0.0000 0.0000



*b*
# CsSn3F | Alexandria via LeMat-Bulk | GGA-PBE | relaxed
# **Magnetization**: 0.000 μB/f.u.
# **DOS at the Fermi energy**: 9.409 states/eV per cell
data_CsSn3F
_symmetry_space_group_name_H-M 'P 1'
_symmetry_Int_Tables_number 1
_symmetry_space_group_name_Hall 'P 1'
_cell_length_a 6.3773
_cell_length_b 6.3773
_cell_length_c 6.3773
_cell_angle_alpha 90.00
_cell_angle_beta 90.00
_cell_angle_gamma 90.00
loop_
_atom_site_label
_atom_site_fract_x
_atom_site_fract_y
_atom_site_fract_z
Cs1 0.0000 0.0000 0.0000
Sn1 0.0000 0.5000 0.0000
Sn2 0.0000 0.0000 0.5000
Sn3 0.5000 0.0000 0.0000
F1 0.5000 0.5000 0.5000



Least stable structure: *b*



*a*
# CsSrF2 | Alexandria via LeMat-Bulk | GGA-PBE | relaxed
# **Magnetization**: 0.000 μB/f.u.
# **DOS at the Fermi energy**: 0.870 states/eV per cell
data_CsSrF2
_symmetry_space_group_name_H-M 'P 1'
_symmetry_Int_Tables_number 1
_symmetry_space_group_name_Hall 'P 1'
_cell_length_a 8.2612
_cell_length_b 8.2612
_cell_length_c 8.2612
_cell_angle_alpha 31.62
_cell_angle_beta 31.62
_cell_angle_gamma 31.62
loop_
_atom_site_label
_atom_site_fract_x
_atom_site_fract_y
_atom_site_fract_z
Cs1 0.5000 0.5000 0.5000
Sr1 0.0000 0.0000 0.0000
F1 0.9027 0.9027 0.9027
F2 0.0973 0.0973 0.0973



*b*
# CsSrF2 | Alexandria via LeMat-Bulk | GGA-PBE | relaxed
# **Magnetization**: 0.000 μB/f.u.
# **DOS at the Fermi energy**: 1.743 states/eV per cell
data_CsSrF2
_symmetry_space_group_name_H-M 'P 1'
_symmetry_Int_Tables_number 1
_symmetry_space_group_name_Hall 'P 1'
_cell_length_a 6.6485
_cell_length_b 6.6485
_cell_length_c 7.7984
_cell_angle_alpha 64.77
_cell_angle_beta 64.77
_cell_angle_gamma 90.00
loop_
_atom_site_label
_atom_site_fract_x
_atom_site_fract_y
_atom_site_fract_z
Cs1 0.0000 0.0000 0.0000
Cs2 0.7500 0.2500 0.5000
Sr1 0.5000 0.5000 0.0000
Sr2 0.2500 0.7500 0.5000
F1 0.4945 0.1250 0.2500
F2 0.2555 0.6250 0.2500
F3 0.3750 0.5055 0.7500
F4 0.8750 0.7445 0.7500



Least stable structure: *a*



*a*
# CsSr3F | Alexandria via LeMat-Bulk | GGA-PBE | relaxed
# **Magnetization**: 0.000 μB/f.u.
# **DOS at the Fermi energy**: 3.553 states/eV per cell
data_CsSr3F
_symmetry_space_group_name_H-M 'P 1'
_symmetry_Int_Tables_number 1
_symmetry_space_group_name_Hall 'P 1'
_cell_length_a 6.1149
_cell_length_b 6.1149
_cell_length_c 6.1149
_cell_angle_alpha 90.00
_cell_angle_beta 90.00
_cell_angle_gamma 90.00
loop_
_atom_site_label
_atom_site_fract_x
_atom_site_fract_y
_atom_site_fract_z
Cs1 0.5000 0.5000 0.5000
Sr1 0.0000 0.5000 0.0000
Sr2 0.0000 0.0000 0.5000
Sr3 0.5000 0.0000 0.0000
F1 0.0000 0.0000 0.0000



*b*
# CsSr3F | Alexandria via LeMat-Bulk | GGA-PBE | relaxed
# **Magnetization**: 4.024 μB/f.u.
# **DOS at the Fermi energy**: 8.976 states/eV per cell
data_CsSr3F
_symmetry_space_group_name_H-M 'P 1'
_symmetry_Int_Tables_number 1
_symmetry_space_group_name_Hall 'P 1'
_cell_length_a 7.0861
_cell_length_b 7.0861
_cell_length_c 7.0861
_cell_angle_alpha 90.00
_cell_angle_beta 90.00
_cell_angle_gamma 90.00
loop_
_atom_site_label
_atom_site_fract_x
_atom_site_fract_y
_atom_site_fract_z
Cs1 0.0000 0.0000 0.0000
Sr1 0.0000 0.5000 0.0000
Sr2 0.0000 0.0000 0.5000
Sr3 0.5000 0.0000 0.0000
F1 0.5000 0.5000 0.5000



Least stable structure: *b*



*a*
# Cs2SrF | Alexandria via LeMat-Bulk | GGA-PBE | relaxed
# **Magnetization**: 1.000 μB/f.u.
# **DOS at the Fermi energy**: 2.451 states/eV per cell
data_Cs2SrF
_symmetry_space_group_name_H-M 'P 1'
_symmetry_Int_Tables_number 1
_symmetry_space_group_name_Hall 'P 1'
_cell_length_a 6.7267
_cell_length_b 6.7267
_cell_length_c 6.7267
_cell_angle_alpha 60.00
_cell_angle_beta 60.00
_cell_angle_gamma 60.00
loop_
_atom_site_label
_atom_site_fract_x
_atom_site_fract_y
_atom_site_fract_z
Cs1 0.2500 0.2500 0.2500
Cs2 0.7500 0.7500 0.7500
Sr1 0.5000 0.5000 0.5000
F1 0.0000 0.0000 0.0000



*b*
# Cs2SrF | Alexandria via LeMat-Bulk | GGA-PBE | relaxed
# **Magnetization**: 0.009 μB/f.u.
# **DOS at the Fermi energy**: 6.522 states/eV per cell
data_Cs2SrF
_symmetry_space_group_name_H-M 'P 1'
_symmetry_Int_Tables_number 1
_symmetry_space_group_name_Hall 'P 1'
_cell_length_a 9.0122
_cell_length_b 9.0122
_cell_length_c 9.0122
_cell_angle_alpha 119.34
_cell_angle_beta 119.34
_cell_angle_gamma 91.14
loop_
_atom_site_label
_atom_site_fract_x
_atom_site_fract_y
_atom_site_fract_z
Cs1 0.3750 0.6685 0.7935
Cs2 0.8750 0.5815 0.2065
Cs3 0.3315 0.1250 0.7065
Cs4 0.4185 0.6250 0.2935
Sr1 0.0000 0.0000 0.0000
Sr2 0.7500 0.2500 0.5000
F1 0.5000 0.5000 0.0000
F2 0.2500 0.7500 0.5000



Least stable structure: *a*



*a*
# Cs2SrYF6 | Alexandria via LeMat-Bulk | GGA-PBE | relaxed
# **Magnetization**: 0.808 μB/f.u.
# **DOS at the Fermi energy**: 4.873 states/eV per cell
data_Cs2SrYF6
_symmetry_space_group_name_H-M 'P 1'
_symmetry_Int_Tables_number 1
_symmetry_space_group_name_Hall 'P 1'
_cell_length_a 6.8233
_cell_length_b 6.6500
_cell_length_c 9.4673
_cell_angle_alpha 90.00
_cell_angle_beta 90.00
_cell_angle_gamma 90.00
loop_
_atom_site_label
_atom_site_fract_x
_atom_site_fract_y
_atom_site_fract_z
Cs1 0.5000 0.7807 0.2437
Cs2 0.0000 0.2193 0.7437
Cs3 0.5000 0.7807 0.7563
Cs4 0.0000 0.2193 0.2563
Sr1 0.0000 0.7300 0.5000
Sr2 0.5000 0.2700 0.0000
Y1 0.5000 0.2673 0.5000
Y2 0.0000 0.7327 0.0000
F1 0.5000 0.2500 0.2626
F2 0.5000 0.2500 0.7374
F3 0.0000 0.7500 0.2374
F4 0.0000 0.7500 0.7626
F5 0.2668 0.0027 0.5000
F6 0.7332 0.0027 0.5000
F7 0.2085 0.4267 0.5000
F8 0.7915 0.4267 0.5000
F9 0.7085 0.5733 0.0000
F10 0.2915 0.5733 0.0000
F11 0.2332 0.9973 0.0000
F12 0.7668 0.9973 0.0000



*b*
# Cs2SrYF6 | Alexandria via LeMat-Bulk | GGA-PBE | relaxed
# **Magnetization**: 0.000 μB/f.u.
# **DOS at the Fermi energy**: 2.635 states/eV per cell
data_Cs2SrYF6
_symmetry_space_group_name_H-M 'P 1'
_symmetry_Int_Tables_number 1
_symmetry_space_group_name_Hall 'P 1'
_cell_length_a 6.8040
_cell_length_b 6.8040
_cell_length_c 6.8053
_cell_angle_alpha 60.01
_cell_angle_beta 60.01
_cell_angle_gamma 90.00
loop_
_atom_site_label
_atom_site_fract_x
_atom_site_fract_y
_atom_site_fract_z
Cs1 0.7500 0.2500 0.5000
Cs2 0.2500 0.7500 0.5000
Y1 0.0000 0.0000 0.0000
F1 0.2334 0.2334 0.5332
F2 0.7666 0.7666 0.4668
F3 0.2337 0.2337 0.0000
F4 0.7663 0.7663 0.0000
F5 0.7663 0.2337 0.0000
F6 0.2337 0.7663 0.0000
Sr1 0.5000 0.5000 0.0000



Least stable structure: *b*



*a*
# CsTa2F | Alexandria via LeMat-Bulk | GGA-PBE | relaxed
# **Magnetization**: 0.000 μB/f.u.
# **DOS at the Fermi energy**: 10.597 states/eV per cell
data_CsTa2F
_symmetry_space_group_name_H-M 'P 1'
_symmetry_Int_Tables_number 1
_symmetry_space_group_name_Hall 'P 1'
_cell_length_a 6.7674
_cell_length_b 6.7674
_cell_length_c 6.7738
_cell_angle_alpha 60.03
_cell_angle_beta 60.03
_cell_angle_gamma 90.00
loop_
_atom_site_label
_atom_site_fract_x
_atom_site_fract_y
_atom_site_fract_z
Cs1 0.0000 0.0000 0.0000
Cs2 0.7500 0.2500 0.5000
F1 0.5000 0.5000 0.0000
F2 0.2500 0.7500 0.5000
Ta1 0.3750 0.1250 0.2500
Ta2 0.3750 0.6250 0.2500
Ta3 0.3750 0.6250 0.7500
Ta4 0.8750 0.6250 0.7500



*b*
# CsTa2F | Alexandria via LeMat-Bulk | GGA-PBE | relaxed
# **Magnetization**: 0.000 μB/f.u.
# **DOS at the Fermi energy**: 5.192 states/eV per cell
data_CsTa2F
_symmetry_space_group_name_H-M 'P 1'
_symmetry_Int_Tables_number 1
_symmetry_space_group_name_Hall 'P 1'
_cell_length_a 4.7381
_cell_length_b 4.7381
_cell_length_c 4.7381
_cell_angle_alpha 60.00
_cell_angle_beta 60.00
_cell_angle_gamma 60.00
loop_
_atom_site_label
_atom_site_fract_x
_atom_site_fract_y
_atom_site_fract_z
Cs1 0.5000 0.5000 0.5000
F1 0.0000 0.0000 0.0000
Ta1 0.2500 0.2500 0.2500
Ta2 0.7500 0.7500 0.7500



Least stable structure: *b*